! YHo4Ag2, relaxed, DFT PBE; values from VASP
! * DOS at the Fermi energy: 10.41 states/eV/cell
! * SG: R-3m, No. 166
! * crystal system: trigonal
! * energy of formation from the pure elements: 0.1683 eV per atom
&SYSTEM
  ibrav = 0, nat = 7, ntyp = 3
/
ATOMIC_SPECIES
Y 88.91 Y.upf
Ho 164.93 Ho.upf
Ag 107.87 Ag.upf
ATOMIC_POSITIONS angstrom
Y -4.663 -1.519 -5.861
Ho -8.096 -3.242 -8.935
Ho -3.633 0.665 -8.353
Ho -1.230 0.205 -2.787
Ho -5.693 -3.703 -3.369
Ag -2.364 0.494 -5.561
Ag -6.962 -3.532 -6.161
CELL_PARAMETERS angstrom
-2.255 3.052 -3.194
0.944 -0.354 -4.856
-8.015 -5.736 -3.673

---

! YHoAg, relaxed, DFT PBE; values from VASP
! * DOS at the Fermi energy: 16.34 states/eV/cell
! * SG: Pnma, No. 62
! * crystal system: orthorhombic
! * energy of formation from the pure elements: 0.0377 eV per atom
&SYSTEM
  ibrav = 0, nat = 12, ntyp = 3
/
ATOMIC_SPECIES
Ho 164.93 Ho.upf
Ag 107.87 Ag.upf
Y 88.91 Y.upf
ATOMIC_POSITIONS angstrom
Ho 3.771 7.009 1.243
Ho 1.257 3.470 3.779
Ho 1.257 0.068 8.801
Ho 3.771 3.607 6.265
Ag 3.771 5.269 3.762
Ag 1.257 1.730 1.260
Ag 1.257 1.808 6.282
Ag 3.771 5.347 8.784
Y 3.771 3.470 1.268
Y 1.257 7.009 3.754
Y 1.257 3.607 8.776
Y 3.771 0.069 6.290
CELL_PARAMETERS angstrom
5.028 0.000 0.000
0.000 7.077 0.000
0.000 0.000 10.044

---

! YHo3Ag, relaxed, DFT PBE; values from VASP
! * DOS at the Fermi energy: 10.30 states/eV/cell
! * SG: C2/m, No. 12
! * crystal system: monoclinic
! * energy of formation from the pure elements: -0.0083 eV per atom
&SYSTEM
  ibrav = 0, nat = 10, ntyp = 3
/
ATOMIC_SPECIES
Y 88.91 Y.upf
Ho 164.93 Ho.upf
Ag 107.87 Ag.upf
ATOMIC_POSITIONS angstrom
Y -1.818 -3.524 3.820
Y 5.277 -1.939 1.738
Ho 4.179 -4.026 -0.748
Ho 2.061 -1.351 0.712
Ho 1.398 -4.112 4.846
Ho 0.773 -4.288 -0.492
Ho -0.720 -1.437 6.306
Ho 2.686 -1.175 6.050
Ag 2.772 -4.086 2.039
Ag 0.687 -1.377 3.519
CELL_PARAMETERS angstrom
-2.365 -5.027 -3.689
6.617 -0.343 0.758
-0.793 -0.093 8.489

---

! YHo2Ag3, relaxed, DFT PBE; values from VASP
! * DOS at the Fermi energy: 2.71 states/eV/cell
! * SG: P4/mmm, No. 123
! * crystal system: tetragonal
! * energy of formation from the pure elements: -0.3314 eV per atom
&SYSTEM
  ibrav = 0, nat = 6, ntyp = 3
/
ATOMIC_SPECIES
Y 88.91 Y.upf
Ho 164.93 Ho.upf
Ag 107.87 Ag.upf
ATOMIC_POSITIONS angstrom
Y 1.807 1.807 5.488
Ho 1.807 1.807 9.155
Ho 1.807 1.807 1.821
Ag 0.000 0.000 0.000
Ag 0.000 0.000 7.347
Ag 0.000 0.000 3.629
CELL_PARAMETERS angstrom
3.613 0.000 0.000
0.000 3.613 0.000
0.000 0.000 10.976

---

! Y3HoAg2, relaxed, DFT PBE; values from VASP
! * DOS at the Fermi energy: 13.43 states/eV/cell
! * SG: Pmc2_1, No. 26
! * crystal system: orthorhombic
! * energy of formation from the pure elements: -0.2096 eV per atom
&SYSTEM
  ibrav = 0, nat = 12, ntyp = 3
/
ATOMIC_SPECIES
Y 88.91 Y.upf
Ho 164.93 Ho.upf
Ag 107.87 Ag.upf
ATOMIC_POSITIONS angstrom
Y 7.790 -2.036 -4.443
Y -0.591 -1.443 -6.711
Y 0.444 -3.612 -4.054
Y 6.884 -3.886 -1.513
Y 2.547 -0.960 -2.750
Y 4.977 -2.141 -6.543
Ho 4.107 -3.999 -3.627
Ho 3.542 -3.124 -0.097
Ag 6.398 -4.714 -5.447
Ag 0.742 -3.004 -1.199
Ag 5.490 -1.319 -2.618
Ag 2.220 -1.564 -5.607
CELL_PARAMETERS angstrom
-0.651 -4.929 1.117
-1.175 -1.371 -6.735
8.925 -1.464 -1.259

---

! Y4HoAg2, relaxed, DFT PBE; values from VASP
! * DOS at the Fermi energy: 9.95 states/eV/cell
! * SG: R-3m, No. 166
! * crystal system: trigonal
! * energy of formation from the pure elements: 0.1100 eV per atom
&SYSTEM
  ibrav = 0, nat = 7, ntyp = 3
/
ATOMIC_SPECIES
Y 88.91 Y.upf
Ho 164.93 Ho.upf
Ag 107.87 Ag.upf
ATOMIC_POSITIONS angstrom
Y -3.493 -4.820 -9.955
Y -2.070 -1.500 -9.598
Y -0.890 -0.966 -3.249
Y -2.313 -4.286 -3.607
Ho -2.192 -2.893 -6.602
Ag -1.095 -0.335 -6.327
Ag -3.289 -5.452 -6.878
CELL_PARAMETERS angstrom
-2.913 1.708 -4.268
2.070 -0.347 -5.021
-3.540 -7.148 -3.915

---

! YHoAg, relaxed, DFT PBE; values from VASP
! * DOS at the Fermi energy: 3.60 states/eV/cell
! * SG: I4mm, No. 107
! * crystal system: tetragonal
! * energy of formation from the pure elements: -0.1826 eV per atom
&SYSTEM
  ibrav = 0, nat = 3, ntyp = 3
/
ATOMIC_SPECIES
Y 88.91 Y.upf
Ho 164.93 Ho.upf
Ag 107.87 Ag.upf
ATOMIC_POSITIONS angstrom
Y -0.108 0.142 0.115
Ho -2.009 2.622 2.124
Ag -2.560 -0.453 2.041
CELL_PARAMETERS angstrom
-3.088 -1.522 -1.041
0.128 -2.203 2.841
-1.718 6.036 2.480

---

! YHoAg, relaxed, DFT PBE; values from VASP
! * DOS at the Fermi energy: 13.36 states/eV/cell
! * SG: Pnma, No. 62
! * crystal system: orthorhombic
! * energy of formation from the pure elements: -0.2153 eV per atom
&SYSTEM
  ibrav = 0, nat = 12, ntyp = 3
/
ATOMIC_SPECIES
Y 88.91 Y.upf
Ho 164.93 Ho.upf
Ag 107.87 Ag.upf
ATOMIC_POSITIONS angstrom
Y 7.063 -3.121 2.861
Y 1.006 -2.685 3.783
Y 8.496 0.119 3.992
Y 2.439 0.556 4.914
Ho 5.510 -5.904 4.487
Ho 5.572 -1.302 5.485
Ho 3.992 3.338 3.289
Ho 3.930 -1.264 2.291
Ag 3.860 -3.438 4.503
Ag 8.027 -2.915 5.899
Ag 1.475 0.349 1.877
Ag 5.642 0.873 3.273
CELL_PARAMETERS angstrom
-1.458 -1.006 4.729
6.414 -6.372 0.622
4.546 4.812 2.425

---

Which total energy belongs to each record? In order, -29.3 -55.1 -46.2 -26.2 -61.9 -35.4 -14.4 -58.2 eV per cell.
Which magnetization belongs to each record? In order, 0.0 0.0 0.0 0.0 0.0 0.0 0.9 0.0 μB/f.u..